No. 1
Tb2MnGe4Rh3 after structural relaxation, computed with GGA-PBE.

Cell lengths 4.129, 4.129, 10.508 Å; angles 90.00, 90.00, 90.00 degrees
Fractional coordinates of all 10 atoms:
Ge (0.500, 0.500, 0.000)
Ge (0.000, 0.000, 0.000)
Ge (0.500, 0.000, 0.637)
Ge (0.000, 0.500, 0.363)
Rh (0.000, 0.500, 0.130)
Rh (0.000, 0.000, 0.500)
Rh (0.500, 0.000, 0.870)
Tb (0.500, 0.000, 0.248)
Tb (0.000, 0.500, 0.752)
Mn (0.500, 0.500, 0.500)

Computed properties:
- energy (eV per cell) = -66.26

---

No. 2
MnTcGeRh after structural relaxation, computed with GGA-PBE.

Cell lengths 4.275, 4.275, 4.275 Å; angles 60.00, 60.00, 60.00 degrees
Fractional coordinates of all 4 atoms:
Rh (0.500, 0.500, 0.500)
Ge (0.250, 0.250, 0.250)
Mn (0.750, 0.750, 0.750)
Tc (0.000, 0.000, 0.000)

Computed properties:
- energy (eV per cell) = -32.69

---

no.,energy of formation (eV per formula unit),V (A^3/atom),M_tot (μB/f.u.)
1,-7.304,17.92,3.0
2,-1.181,13.81,3.0